# Tl7Cd2Pb2

An optimized crystal structure of Tl7Cd2Pb2 (GGA-PBE, the Alexandria database).

a = 7.370 Å, b = 9.670 Å, c = 9.927 Å
α = 90.00°, β = 109.01°, γ = 90.00°
Space group C2/m (No. 12)
Asymmetric unit:
Tl 0.000 0.000 0.000 x2
Tl 0.089 0.000 0.365 x4
Tl 0.218 0.303 0.158 x8
Cd 0.073 0.500 0.782 x4
Pb 0.000 0.309 0.500 x4

- Offset from the most stable computed form: 2 meV/atom